# 1
This record from the Alexandria database describes an optimized crystal structure of Na3As5O12. The functional is PBE.

abc: 11.009 11.009 11.009
angles: 109.47 109.47 109.47
Sites, in units of the cell vectors:
Na (0.125, 0.250, 0.375)
Na (0.125, 0.375, 0.750)
Na (0.250, 0.375, 0.125)
Na (0.250, 0.875, 0.625)
Na (0.375, 0.125, 0.250)
Na (0.375, 0.750, 0.125)
Na (0.625, 0.250, 0.875)
Na (0.625, 0.875, 0.750)
Na (0.750, 0.125, 0.375)
Na (0.750, 0.625, 0.875)
Na (0.875, 0.625, 0.250)
Na (0.875, 0.750, 0.625)
As (0.000, 0.000, 0.000)
As (0.000, 0.000, 0.500)
As (0.000, 0.500, 0.000)
As (0.000, 0.500, 0.500)
As (0.125, 0.750, 0.875)
As (0.125, 0.875, 0.250)
As (0.250, 0.125, 0.875)
As (0.250, 0.625, 0.375)
As (0.375, 0.250, 0.625)
As (0.375, 0.625, 0.750)
As (0.500, 0.000, 0.000)
As (0.500, 0.000, 0.500)
As (0.500, 0.500, 0.000)
As (0.500, 0.500, 0.500)
As (0.625, 0.375, 0.250)
As (0.625, 0.750, 0.375)
As (0.750, 0.375, 0.625)
As (0.750, 0.875, 0.125)
As (0.875, 0.125, 0.750)
As (0.875, 0.250, 0.125)
O (0.012, 0.207, 0.117)
O (0.012, 0.304, 0.894)
O (0.090, 0.707, 0.696)
O (0.090, 0.883, 0.394)
O (0.106, 0.617, 0.410)
O (0.106, 0.988, 0.696)
O (0.117, 0.012, 0.207)
O (0.117, 0.606, 0.910)
O (0.196, 0.207, 0.590)
O (0.196, 0.488, 0.606)
O (0.207, 0.117, 0.012)
O (0.207, 0.590, 0.196)
O (0.293, 0.304, 0.910)
O (0.293, 0.488, 0.383)
O (0.304, 0.894, 0.012)
O (0.304, 0.910, 0.293)
O (0.383, 0.293, 0.488)
O (0.383, 0.590, 0.894)
O (0.394, 0.090, 0.883)
O (0.394, 0.804, 0.512)
O (0.410, 0.106, 0.617)
O (0.410, 0.804, 0.793)
O (0.488, 0.383, 0.293)
O (0.488, 0.606, 0.196)
O (0.512, 0.394, 0.804)
O (0.512, 0.617, 0.707)
O (0.590, 0.196, 0.207)
O (0.590, 0.894, 0.383)
O (0.606, 0.196, 0.488)
O (0.606, 0.910, 0.117)
O (0.617, 0.410, 0.106)
O (0.617, 0.707, 0.512)
O (0.696, 0.090, 0.707)
O (0.696, 0.106, 0.988)
O (0.707, 0.512, 0.617)
O (0.707, 0.696, 0.090)
O (0.793, 0.410, 0.804)
O (0.793, 0.883, 0.988)
O (0.804, 0.512, 0.394)
O (0.804, 0.793, 0.410)
O (0.883, 0.394, 0.090)
O (0.883, 0.988, 0.793)
O (0.894, 0.012, 0.304)
O (0.894, 0.383, 0.590)
O (0.910, 0.117, 0.606)
O (0.910, 0.293, 0.304)
O (0.988, 0.696, 0.106)
O (0.988, 0.793, 0.883)

Its space-group type is Ia-3d, No. 230. The energy relative to the elements, uncorrected is -26.789 eV/f.u. The volume comes out at 1027.11 Å³ per cell.

***

# 2
This record from the Alexandria database describes an optimized crystal structure of HgP2IrO8. The functional is PBE.

abc: 4.911 4.911 7.533
angles: 95.70 95.70 65.19
Sites, in units of the cell vectors:
Hg (0.000, 0.000, 0.000)
P (0.334, 0.334, 0.295)
P (0.666, 0.666, 0.705)
Ir (0.000, 0.000, 0.500)
O (0.208, 0.686, 0.307)
O (0.232, 0.232, 0.453)
O (0.245, 0.245, 0.104)
O (0.314, 0.792, 0.693)
O (0.686, 0.208, 0.307)
O (0.755, 0.755, 0.896)
O (0.768, 0.768, 0.547)
O (0.792, 0.314, 0.693)

Its space-group type is C2/m, No. 12. The energy relative to the elements, uncorrected is -17.525 eV/f.u. The volume comes out at 163.78 Å³ per cell.

***

# 3
This record from the Alexandria database describes an optimized crystal structure of Pm5Mg5Cd2. The functional is PBE.

abc: 5.353 5.353 14.396
angles: 100.73 100.73 60.07
Sites, in units of the cell vectors:
Pm (0.000, 0.000, 0.000)
Pm (0.144, 0.144, 0.432)
Pm (0.395, 0.395, 0.188)
Pm (0.605, 0.605, 0.812)
Pm (0.856, 0.856, 0.568)
Mg (0.228, 0.228, 0.680)
Mg (0.308, 0.308, 0.923)
Mg (0.500, 0.500, 0.500)
Mg (0.692, 0.692, 0.077)
Mg (0.772, 0.772, 0.320)
Cd (0.071, 0.071, 0.217)
Cd (0.929, 0.929, 0.783)

Its space-group type is C2/m, No. 12. The volume comes out at 349.13 Å³ per cell. The formation energy is -0.052 eV/atom.

***

# 4
This record from the Alexandria database describes an optimized crystal structure of Pr5Zn2Cd2. The functional is PBE.

abc: 9.736 9.736 7.855
angles: 90.00 90.00 45.51
Sites, in units of the cell vectors:
Pr (0.000, 0.000, 0.000)
Pr (0.057, 0.676, 0.686)
Pr (0.176, 0.557, 0.186)
Pr (0.324, 0.943, 0.686)
Pr (0.443, 0.824, 0.186)
Pr (0.500, 0.500, 0.500)
Pr (0.557, 0.176, 0.814)
Pr (0.676, 0.057, 0.314)
Pr (0.824, 0.443, 0.814)
Pr (0.943, 0.324, 0.314)
Zn (0.110, 0.890, 0.380)
Zn (0.390, 0.610, 0.880)
Zn (0.610, 0.390, 0.120)
Zn (0.890, 0.110, 0.620)
Cd (0.227, 0.227, 0.000)
Cd (0.273, 0.273, 0.500)
Cd (0.727, 0.727, 0.500)
Cd (0.773, 0.773, 0.000)

Its space-group type is Cmce, No. 64. The volume comes out at 531.14 Å³ per cell. The formation energy is -0.195 eV/atom.

***

# 5
This record from the Alexandria database describes an optimized crystal structure of MgCd4O5. The functional is PBE.

abc: 5.755 5.755 5.755
angles: 99.56 99.56 131.91
Sites, in units of the cell vectors:
Mg (0.000, 0.000, 0.000)
Cd (0.202, 0.598, 0.799)
Cd (0.402, 0.202, 0.604)
Cd (0.598, 0.798, 0.396)
Cd (0.798, 0.402, 0.201)
O (0.087, 0.280, 0.366)
O (0.280, 0.913, 0.193)
O (0.500, 0.500, 0.000)
O (0.720, 0.087, 0.807)
O (0.913, 0.720, 0.634)

Its space-group type is I4/m, No. 87. The energy relative to the elements, uncorrected is -13.147 eV/f.u. The volume comes out at 129.56 Å³ per cell.

***

# 6
This record from the Alexandria database describes an optimized crystal structure of SrSc3Al. The functional is PBE.

abc: 5.364 5.364 5.364
angles: 90.00 90.00 90.00
Sites, in units of the cell vectors:
Sr (0.000, 0.000, 0.000)
Sc (0.000, 0.500, 0.500)
Sc (0.500, 0.000, 0.500)
Sc (0.500, 0.500, 0.000)
Al (0.500, 0.500, 0.500)

Its space-group type is Pm-3m, No. 221. The volume comes out at 154.33 Å³ per cell. The formation energy is 0.277 eV/atom.

***

# 7
This record from the Alexandria database describes an optimized crystal structure of PrCu8Pt2. The functional is PBE.

abc: 6.243 6.243 4.851
angles: 90.00 90.00 90.00
Sites, in units of the cell vectors:
Pr (0.000, 0.000, 0.000)
Cu (0.305, 0.305, 0.248)
Cu (0.305, 0.305, 0.752)
Cu (0.305, 0.695, 0.248)
Cu (0.305, 0.695, 0.752)
Cu (0.695, 0.305, 0.248)
Cu (0.695, 0.305, 0.752)
Cu (0.695, 0.695, 0.248)
Cu (0.695, 0.695, 0.752)
Pt (0.000, 0.500, 0.500)
Pt (0.500, 0.000, 0.500)

Its space-group type is P4/mmm, No. 123. The volume comes out at 189.06 Å³ per cell. The formation energy is 0.179 eV/atom.

***

# 8
This record from the Alexandria database describes an optimized crystal structure of CaMoW2. The functional is PBE.

abc: 4.810 4.810 3.072
angles: 90.00 90.00 90.00
Sites, in units of the cell vectors:
Ca (0.000, 0.000, 0.000)
Mo (0.500, 0.500, 0.000)
W (0.000, 0.500, 0.500)
W (0.500, 0.000, 0.500)

Its space-group type is P4/mmm, No. 123. The volume comes out at 71.06 Å³ per cell. The formation energy is 0.998 eV/atom.